Below is a relaxed structure of BaU, with properties calculated at the PBE level.

As for the magnetic moment: 3.1 μB per cell. The value obtained for the offset from the most stable computed form is 0.000 eV per atom. The value obtained for the final energy is -0.202 hartree per atom.

The space group is P-6m2 (No. 187) and the conventional cell measures 3.4121, 3.4121 and 6.5906 Å, with angles of 90.00, 90.00 and 120.00 degrees. The distinct sites, in fractional coordinates, are Ba at (0.0000, 0.0000, 0.0000) and U at (0.6667, 0.3333, 0.5000).

Below is a relaxed structure of BaU, with properties calculated at the PBE level.

As for the magnetic moment: 15.1 μB per cell. The value obtained for the offset from the most stable computed form is 1.414 eV per atom. The value obtained for the final energy is -0.150 hartree per atom.

The space group is F-43m (No. 216) and the conventional cell measures 6.891, 6.891 and 6.891 Å, with angles of 90.00, 90.00 and 90.00 degrees. The distinct sites, in fractional coordinates, are Ba at (0.000, 0.000, 0.000) and U at (0.250, 0.250, 0.750).

Below is a relaxed structure of BaU, with properties calculated at the PBE level.

As for the magnetic moment: 14.9 μB per cell. The value obtained for the offset from the most stable computed form is 0.738 eV per atom. The value obtained for the final energy is -0.174 hartree per atom.

The space group is Fm-3m (No. 225) and the conventional cell measures 6.663, 6.663 and 6.663 Å, with angles of 90.00, 90.00 and 90.00 degrees. The distinct sites, in fractional coordinates, are Ba at (0.000, 0.000, 0.000) and U at (0.000, 0.000, 0.500).

Below is a relaxed structure of BaW2, with properties calculated at the PBE level.

As for the magnetic moment: 0.0 μB per cell. The value obtained for the final energy is -0.298 hartree per atom.

The space group is Fd-3m (No. 227, origin choice 2) and the conventional cell measures 8.149, 8.149 and 8.149 Å, with angles of 90.00, 90.00 and 90.00 degrees. The distinct sites, in fractional coordinates, are Ba at (0.125, 0.125, 0.125) and W at (0.000, 0.000, 0.500).

Below is a relaxed structure of BaW, with properties calculated at the PBE level.

As for the magnetic moment: 0.0 μB per cell. The value obtained for the offset from the most stable computed form is 0.000 eV per atom. The value obtained for the final energy is -0.207 hartree per atom.

The space group is P-6m2 (No. 187) and the conventional cell measures 3.1238, 3.1238 and 5.9402 Å, with angles of 90.00, 90.00 and 120.00 degrees. The distinct sites, in fractional coordinates, are Ba at (0.0000, 0.0000, 0.0000) and W at (0.6667, 0.3333, 0.5000).

Below is a relaxed structure of Ba2W, with properties calculated at the PBE level.

As for the magnetic moment: 8.4 μB per cell. The value obtained for the offset from the most stable computed form is 0.000 eV per atom. The value obtained for the final energy is -0.129 hartree per atom.

The space group is Fd-3m (No. 227, origin choice 2) and the conventional cell measures 13.051, 13.051 and 13.051 Å, with angles of 90.00, 90.00 and 90.00 degrees. The distinct sites, in fractional coordinates, are Ba at (0.000, 0.000, 0.000) and W at (0.125, 0.125, 0.125).

Below is a relaxed structure of BaW, with properties calculated at the PBE level.

As for the magnetic moment: 16.2 μB per cell. The value obtained for the offset from the most stable computed form is 0.748 eV per atom. The value obtained for the final energy is -0.179 hartree per atom.

The space group is Fm-3m (No. 225) and the conventional cell measures 6.822, 6.822 and 6.822 Å, with angles of 90.00, 90.00 and 90.00 degrees. The distinct sites, in fractional coordinates, are Ba at (0.000, 0.000, 0.000) and W at (0.000, 0.000, 0.500).

Below is a relaxed structure of Ba3Zn2W2, with properties calculated at the PBE level.

As for the magnetic moment: 6.5 μB per cell. The value obtained for the final energy is -0.140 hartree per atom.

The space group is R3m (No. 160, hexagonal axes) and the conventional cell measures 4.4497, 4.4497 and 38.4248 Å, with angles of 90.00, 90.00 and 120.00 degrees. The distinct sites, in fractional coordinates, are Ba at (0.0000, 0.0000, 0.0000), Ba at (0.0000, 0.0000, 0.2044), Ba at (0.0000, 0.0000, 0.7943), Zn at (0.0000, 0.0000, 0.3990), Zn at (0.0000, 0.0000, 0.9216), W at (0.0000, 0.0000, 0.0765) and W at (0.0000, 0.0000, 0.5967).

Below is a relaxed structure of BaZrW, with properties calculated at the PBE level.

As for the magnetic moment: 1.9 μB per cell. The value obtained for the offset from the most stable computed form is 0.996 eV per atom. The value obtained for the final energy is -0.202 hartree per atom.

The space group is F-43m (No. 216) and the conventional cell measures 6.821, 6.821 and 6.821 Å, with angles of 90.00, 90.00 and 90.00 degrees. The distinct sites, in fractional coordinates, are Ba at (0.000, 0.000, 0.000), Zr at (0.250, 0.250, 0.250) and W at (0.250, 0.250, 0.750).

Below is a relaxed structure of BaZrW2, with properties calculated at the PBE level.

As for the magnetic moment: 0.3 μB per cell. The value obtained for the final energy is -0.289 hartree per atom.

The space group is F-43m (No. 216) and the conventional cell measures 6.974, 6.974 and 6.974 Å, with angles of 90.00, 90.00 and 90.00 degrees. The distinct sites, in fractional coordinates, are Ba at (0.000, 0.000, 0.000), Zr at (0.250, 0.250, 0.250), W at (0.000, 0.000, 0.500) and W at (0.250, 0.250, 0.750).

Below is a relaxed structure of Ba2Zn, with properties calculated at the PBE level.

The value obtained for the final energy is -0.063 hartree per atom.

The space group is Fm-3m (No. 225) and the conventional cell measures 8.184, 8.184 and 8.184 Å, with angles of 90.00, 90.00 and 90.00 degrees. The distinct sites, in fractional coordinates, are Ba at (0.250, 0.250, 0.250) and Zn at (0.000, 0.000, 0.000).

Below is a relaxed structure of BaZn4, with properties calculated at the PBE level.

The value obtained for the final energy is -0.058 hartree per atom.

The space group is I4/mmm (No. 139) and the conventional cell measures 4.524, 4.524 and 11.065 Å, with angles of 90.00, 90.00 and 90.00 degrees. The distinct sites, in fractional coordinates, are Ba at (0.000, 0.000, 0.000), Zn at (0.000, 0.000, 0.374) and Zn at (0.000, 0.500, 0.250).